CdFeW2 | PBEsol | relaxed

```
CdFeW2
1.0
3.2149 0.0000 0.0000
0.0000 3.2149 0.0000
0.0000 0.0000 6.0281
Cd Fe W
1 1 2
Direct
0.0000 0.0000 0.0000
0.0000 0.0000 0.5000
0.5000 0.5000 0.2988
0.5000 0.5000 0.7012
```

Output
Its space group is P4/mmm, No. 123. The formation enthalpy at 0 K comes out at 0.56 eV/atom. Its crystal system is tetragonal.

=====

MgSn3Ru | PBEsol | relaxed

```
MgSn3Ru
1.0
5.0866 0.0000 0.0000
0.0000 5.0866 0.0000
0.0000 0.0000 5.0866
Mg Sn Ru
1 3 1
Direct
0.0000 0.0000 0.0000
0.0000 0.5000 0.5000
0.5000 0.0000 0.5000
0.5000 0.5000 0.0000
0.5000 0.5000 0.5000
```

Output
Its space group is Pm-3m, No. 221. The formation enthalpy at 0 K comes out at 0.19 eV/atom. Its crystal system is cubic.

=====

LiSbCl2 | PBEsol | relaxed

```
LiSbCl2
1.0
1.7422 1.0059 8.0776
-1.7422 1.0059 8.0776
0.0000 -2.0117 8.0776
Li Sb Cl
1 1 2
Direct
0.0000 0.0000 0.0000
0.5000 0.5000 0.5000
0.3918 0.3918 0.3918
0.6082 0.6082 0.6082
```

Output
Its space group is R-3m, No. 166. As for the energy above the most stable polymorph in this dataset: 0.0000 eV/atom. As for the uncorrected formation energy: -1.095 eV/atom. Its crystal system is trigonal.

=====

ScTl3 | PBEsol | relaxed

```
ScTl3
1.0
3.4142 0.0000 0.0000
-1.7071 2.9568 0.0000
0.0000 0.0000 10.1790
Sc Tl
1 3
Direct
0.0000 0.0000 0.0000
0.0000 0.0000 0.5000
0.3333 0.6667 0.2334
0.3333 0.6667 0.7666
```

Output
Its space group is P-6m2, No. 187. The formation enthalpy at 0 K comes out at -0.05 eV/atom. Its crystal system is hexagonal.

=====

LiZn2Rh | PBEsol | relaxed

```
LiZn2Rh
1.0
-1.5279 2.0497 4.1627
1.5279 -2.0497 4.1627
1.5279 2.0497 -4.1627
Li Zn Rh
1 2 1
Direct
0.0000 0.0000 0.0000
0.5018 0.5018 0.0000
0.7490 0.2490 0.5000
0.2544 0.7544 0.5000
```

Output
Its space group is Imm2, No. 44. The formation enthalpy at 0 K comes out at -0.31 eV/atom. As for the energy above the most stable polymorph in this dataset: 0.0756 eV/atom. Its crystal system is orthorhombic.

=====

ScTlMo | PBEsol | relaxed

```
ScTlMo
1.0
4.8144 0.0000 0.0000
-2.4072 4.1694 0.0000
0.0000 0.0000 2.8858
Sc Tl Mo
1 1 1
Direct
0.0000 0.0000 0.0000
0.6667 0.3333 0.4144
0.3333 0.6667 0.6127
```

Output
Its space group is P3m1, No. 156. The formation enthalpy at 0 K comes out at 0.34 eV/atom. As for the energy above the most stable polymorph in this dataset: 0.0861 eV/atom. Its crystal system is trigonal.

=====

ZnAgAu2 | PBEsol | relaxed

```
ZnAgAu2
1.0
2.9197 0.0000 0.0000
0.0000 3.7998 0.0000
0.0000 0.0000 5.7771
Zn Ag Au
1 1 2
Direct
0.0000 0.0000 0.0000
0.0000 0.0000 0.5000
0.5000 0.5000 0.2402
0.5000 0.5000 0.7598
```

Output
Its space group is Pmmm, No. 47. The formation enthalpy at 0 K comes out at -0.13 eV/atom. Its crystal system is orthorhombic.

=====

Sr2LaCr | PBEsol | relaxed

```
Sr2LaCr
1.0
-2.4492 2.4492 5.7621
2.4492 -2.4492 5.7621
2.4492 2.4492 -5.7621
Sr La Cr
2 1 1
Direct
0.2500 0.7500 0.5000
0.7500 0.2500 0.5000
0.0000 0.0000 0.0000
0.5000 0.5000 0.0000
```

Output
Its space group is I4/mmm, No. 139. The formation enthalpy at 0 K comes out at 0.66 eV/atom. As for the energy above the most stable polymorph in this dataset: 0.2407 eV/atom. Its crystal system is tetragonal.

=====

Na2GePCO7 | PBEsol | relaxed

```
Na2GePCO7
1.0
5.3480 0.0000 0.0000
0.0000 6.4797 0.0000
-0.2652 0.0000 9.0832
Na Ge P C O
4 2 2 2 14
Direct
0.2400 0.0098 0.2700
0.2400 0.4902 0.2700
0.7600 0.5098 0.7300
0.7600 0.9902 0.7300
0.3209 0.2500 0.8579
0.6791 0.7500 0.1421
0.2251 0.7500 0.9168
0.7749 0.2500 0.0832
0.2375 0.2500 0.5872
0.7625 0.7500 0.4128
0.0492 0.2500 0.6768
0.0608 0.2500 0.0952
0.2160 0.2500 0.4504
0.3131 0.7500 0.0828
0.3421 0.5607 0.8385
0.3421 0.9393 0.8385
0.4577 0.2500 0.6592
0.5423 0.7500 0.3408
0.6579 0.0607 0.1615
0.6579 0.4393 0.1615
0.6869 0.2500 0.9172
0.7840 0.7500 0.5496
0.9392 0.7500 0.9048
0.9508 0.7500 0.3232
```

Output
Its space group is P2_1/m, No. 11. As for the uncorrected formation energy: -1.787 eV/atom. Its crystal system is monoclinic.

=====

CaFeCu2 | PBEsol | relaxed

```
CaFeCu2
1.0
4.3618 0.0000 0.0000
0.0000 4.3618 0.0000
0.0000 0.0000 3.1893
Ca Fe Cu
1 1 2
Direct
0.0000 0.0000 0.0000
0.5000 0.5000 0.0000
0.0000 0.5000 0.5000
0.5000 0.0000 0.5000
```

Output
Its space group is P4/mmm, No. 123. The formation enthalpy at 0 K comes out at 0.43 eV/atom. Its crystal system is tetragonal.

=====

CaHg2Sb | PBEsol | relaxed

```
CaHg2Sb
1.0
-1.7522 2.6882 5.3639
1.7522 -2.6882 5.3639
1.7522 2.6882 -5.3639
Ca Hg Sb
1 2 1
Direct
0.0000 0.0000 0.0000
0.2533 0.7533 0.5000
0.7467 0.2467 0.5000
0.5000 0.5000 0.0000
```

Output
Its space group is Immm, No. 71. As for the uncorrected formation energy: -0.414 eV/atom. Its crystal system is orthorhombic.

=====

Ca3ZnCr | PBEsol | relaxed

```
Ca3ZnCr
1.0
5.5181 0.0000 0.0000
0.0000 5.5181 0.0000
0.0000 0.0000 5.5181
Ca Zn Cr
3 1 1
Direct
0.0000 0.0000 0.5000
0.0000 0.5000 0.0000
0.5000 0.0000 0.0000
0.5000 0.5000 0.5000
0.0000 0.0000 0.0000
```

Output
Its space group is Pm-3m, No. 221. The formation enthalpy at 0 K comes out at 0.76 eV/atom. Its crystal system is cubic.

=====

Mn2ZnAg | PBEsol | relaxed

```
Mn2ZnAg
1.0
-1.9358 1.9358 3.7977
1.9358 -1.9358 3.7977
1.9358 1.9358 -3.7977
Mn Zn Ag
2 1 1
Direct
0.2500 0.7500 0.5000
0.7500 0.2500 0.5000
0.0000 0.0000 0.0000
0.5000 0.5000 0.0000
```

Output
Its space group is I4/mmm, No. 139. The formation enthalpy at 0 K comes out at 0.32 eV/atom. Its crystal system is tetragonal.

=====

LiRu2Br | PBEsol | relaxed

```
LiRu2Br
1.0
2.9592 0.0000 0.0000
0.0000 2.9592 0.0000
0.0000 0.0000 7.0683
Li Ru Br
1 2 1
Direct
0.0000 0.0000 0.0000
0.0000 0.0000 0.4817
0.5000 0.5000 0.2834
0.5000 0.5000 0.7640
```

Output
Its space group is P4mm, No. 99. As for the energy above the most stable polymorph in this dataset: 0.0000 eV/atom. As for the uncorrected formation energy: 0.247 eV/atom. Its crystal system is tetragonal.

=====

K3TcPt | PBEsol | relaxed

```
K3TcPt
1.0
5.9262 0.0000 0.0000
0.0000 5.9262 0.0000
0.0000 0.0000 5.9262
K Tc Pt
3 1 1
Direct
0.0000 0.0000 0.5000
0.0000 0.5000 0.0000
0.5000 0.0000 0.0000
0.0000 0.0000 0.0000
0.5000 0.5000 0.5000
```

Output
Its space group is Pm-3m, No. 221. The formation enthalpy at 0 K comes out at 1.76 eV/atom. Its crystal system is cubic.

=====

CdAg2Au | PBEsol | relaxed

```
CdAg2Au
1.0
2.8688 -4.0589 0.0000
2.8688 4.0589 0.0000
0.0000 0.0000 2.9702
Cd Ag Au
1 2 1
Direct
0.0000 0.0000 0.0000
0.0000 0.5000 0.5000
0.5000 0.0000 0.5000
0.5000 0.5000 0.0000
```

Output
Its space group is Cmmm, No. 65. The formation enthalpy at 0 K comes out at -0.08 eV/atom. Its crystal system is orthorhombic.

=====

PbCBr2 | PBEsol | relaxed

```
PbCBr2
1.0
0.0000 4.7618 4.7618
4.7618 0.0000 4.7618
4.7618 4.7618 0.0000
Pb C Br
2 2 4
Direct
0.1250 0.1250 0.1250
0.8750 0.8750 0.8750
0.3750 0.3750 0.3750
0.6250 0.6250 0.6250
0.0000 0.5000 0.5000
0.5000 0.0000 0.5000
0.5000 0.5000 0.0000
0.5000 0.5000 0.5000
```

Output
Its space group is Fd-3m, No. 227. As for the energy above the most stable polymorph in this dataset: 0.0321 eV/atom. As for the uncorrected formation energy: 1.180 eV/atom. Its crystal system is cubic.

=====

InCuAs2 | PBEsol | relaxed

```
InCuAs2
1.0
2.0833 -2.3795 0.0000
2.0833 2.3795 0.0000
0.0000 0.0000 7.5669
In Cu As
1 1 2
Direct
0.0000 0.0000 0.0000
0.0000 0.0000 0.5000
0.5000 0.5000 0.3106
0.5000 0.5000 0.6894
```

Output
Its space group is Cmmm, No. 65. The formation enthalpy at 0 K comes out at 0.19 eV/atom. Its crystal system is orthorhombic.

=====

Ni3GeP | PBEsol | relaxed

```
Ni3GeP
1.0
4.1361 0.0000 0.0000
0.0000 4.1361 0.0000
0.0000 0.0000 4.1361
Ni Ge P
3 1 1
Direct
0.0000 0.0000 0.5000
0.0000 0.5000 0.0000
0.5000 0.0000 0.0000
0.5000 0.5000 0.5000
0.0000 0.0000 0.0000
```

Output
Its space group is Pm-3m, No. 221. The formation enthalpy at 0 K comes out at 0.07 eV/atom. Its crystal system is cubic.

=====

TeIrW | PBEsol | relaxed

```
TeIrW
1.0
0.0000 3.0912 3.0912
3.0912 0.0000 3.0912
3.0912 3.0912 0.0000
Te Ir W
1 1 1
Direct
0.0000 0.0000 0.0000
0.5000 0.5000 0.5000
0.7500 0.7500 0.7500
```

Output
Its space group is F-43m, No. 216. As for the energy above the most stable polymorph in this dataset: 0.0000 eV/atom. As for the uncorrected formation energy: 0.550 eV/atom. Its crystal system is cubic.

=====

LiMoIr3 | PBEsol | relaxed

```
LiMoIr3
1.0
4.0568 0.0000 0.0000
0.0000 4.0568 0.0000
0.0000 0.0000 4.0568
Li Mo Ir
1 1 3
Direct
0.0000 0.0000 0.0000
0.5000 0.5000 0.5000
0.0000 0.0000 0.5000
0.0000 0.5000 0.0000
0.5000 0.0000 0.0000
```

Output
Its space group is Pm-3m, No. 221. The formation enthalpy at 0 K comes out at 0.74 eV/atom. Its crystal system is cubic.

=====

TlSnO2 | PBEsol | relaxed

```
TlSnO2
1.0
1.6952 0.9787 6.8777
-1.6952 0.9787 6.8777
0.0000 -1.9574 6.8777
Tl Sn O
1 1 2
Direct
0.0000 0.0000 0.0000
0.5000 0.5000 0.5000
0.3909 0.3909 0.3909
0.6091 0.6091 0.6091
```

Output
Its space group is R-3m, No. 166. As for the uncorrected formation energy: -0.693 eV/atom. Its crystal system is trigonal.

=====

Li2PCl | PBEsol | relaxed

```
Li2PCl
1.0
1.5707 0.9068 7.1000
-1.5707 0.9068 7.1000
0.0000 -1.8137 7.1000
Li P Cl
2 1 1
Direct
0.2390 0.2390 0.2390
0.7610 0.7610 0.7610
0.0000 0.0000 0.0000
0.5000 0.5000 0.5000
```

Output
Its space group is R-3m, No. 166. As for the energy above the most stable polymorph in this dataset: 0.0000 eV/atom. As for the uncorrected formation energy: -0.866 eV/atom. Its crystal system is trigonal.

=====

Mn3AuN | PBEsol | relaxed

```
Mn3AuN
1.0
3.9239 0.0000 0.0000
0.0000 3.9239 0.0000
0.0000 0.0000 3.9239
Mn Au N
3 1 1
Direct
0.0000 0.0000 0.5000
0.0000 0.5000 0.0000
0.5000 0.0000 0.0000
0.5000 0.5000 0.5000
0.0000 0.0000 0.0000
```

Output
Its space group is Pm-3m, No. 221. As for the uncorrected formation energy: -0.198 eV/atom. Its crystal system is cubic.

=====

BeCd2As | PBEsol | relaxed

```
BeCd2As
1.0
-2.0260 2.0260 4.3718
2.0260 -2.0260 4.3718
2.0260 2.0260 -4.3718
Be Cd As
1 2 1
Direct
0.0000 0.0000 0.0000
0.2500 0.7500 0.5000
0.7500 0.2500 0.5000
0.5000 0.5000 0.0000
```

Output
Its space group is I4/mmm, No. 139. The formation enthalpy at 0 K comes out at 0.40 eV/atom. As for the energy above the most stable polymorph in this dataset: 0.0000 eV/atom. Its crystal system is tetragonal.

=====

SnGeI2O | PBEsol | relaxed

```
SnGeI2O
1.0
5.9389 0.0000 0.0000
0.0000 5.9389 0.0000
0.0000 0.0000 3.9704
Sn Ge I O
1 1 2 1
Direct
0.0000 0.0000 0.0000
0.5000 0.5000 0.5000
0.0000 0.5000 0.0000
0.5000 0.0000 0.0000
0.0000 0.0000 0.5000
```

Output
Its space group is P4/mmm, No. 123. As for the uncorrected formation energy: -0.065 eV/atom. Its crystal system is tetragonal.

=====

La2AuCl | PBEsol | relaxed

```
La2AuCl
1.0
-1.8922 1.9170 7.4700
1.8922 -1.9170 7.4700
1.8922 1.9170 -7.4700
La Au Cl
2 1 1
Direct
0.0000 0.0000 0.0000
0.7507 0.2507 0.5000
0.3433 0.8433 0.5000
0.5927 0.5927 0.0000
```

Output
Its space group is Imm2, No. 44. As for the energy above the most stable polymorph in this dataset: 0.1474 eV/atom. As for the uncorrected formation energy: -1.059 eV/atom. Its crystal system is orthorhombic.

=====

SrLi2Al | PBEsol | relaxed

```
SrLi2Al
1.0
-2.4236 2.4236 4.2908
2.4236 -2.4236 4.2908
2.4236 2.4236 -4.2908
Sr Li Al
1 2 1
Direct
0.0000 0.0000 0.0000
0.5000 0.5000 0.0000
0.7500 0.2500 0.5000
0.2500 0.7500 0.5000
```

Output
Its space group is I-4m2, No. 119. The formation enthalpy at 0 K comes out at 0.03 eV/atom. Its crystal system is tetragonal.

=====

SrMnFe2 | PBEsol | relaxed

```
SrMnFe2
1.0
3.0130 0.0000 0.0000
0.0000 3.0262 0.0000
0.0000 0.0000 7.2458
Sr Mn Fe
1 1 2
Direct
0.0000 0.0000 0.0000
0.5000 0.5000 0.3447
0.0000 0.0000 0.5284
0.5000 0.5000 0.6837
```

Output
Its space group is Pmm2, No. 25. The formation enthalpy at 0 K comes out at 0.65 eV/atom. Its crystal system is orthorhombic.